1.
An optimized crystal structure of Ce5Sn2Ir. Source: Alexandria, functional PBE.

abc: 8.890 8.890 12.093
angles: 90.00 90.00 143.97
Atoms (fractional coordinates):
Ce 0.053 0.947 0.592
Ce 0.053 0.947 0.908
Ce 0.278 0.722 0.556
Ce 0.278 0.722 0.944
Ce 0.313 0.687 0.250
Ce 0.687 0.313 0.750
Ce 0.722 0.278 0.056
Ce 0.722 0.278 0.444
Ce 0.947 0.053 0.092
Ce 0.947 0.053 0.408
Sn 0.136 0.864 0.133
Sn 0.136 0.864 0.367
Sn 0.864 0.136 0.633
Sn 0.864 0.136 0.867
Ir 0.173 0.827 0.750
Ir 0.827 0.173 0.250

Summary:
As for the formation energy: -130 meV per atom. The total DFT energy (no corrections) is -5.947 eV/atom. The calculation puts the total magnetization at 5.68 μB/f.u. The energy relative to the lowest polymorph listed for this composition is 443 meV/atom.

=====

2.
An optimized crystal structure of Ce2NiOs. Source: Alexandria, functional PBE.

abc: 9.940 9.940 9.940
angles: 17.20 17.20 17.20
Atoms (fractional coordinates):
Ce 0.085 0.085 0.085
Ce 0.915 0.915 0.915
Ni 0.000 0.000 0.000
Os 0.500 0.500 0.500

Summary:
As for the formation energy: 285 meV per atom. The total DFT energy (no corrections) is -6.935 eV/atom. The calculation puts the total magnetization at 0.00 μB/f.u.

=====

3.
An optimized crystal structure of Rb2Ga12Pt7. Source: Alexandria, functional PBE.

abc: 10.337 10.337 4.230
angles: 90.00 90.00 120.00
Atoms (fractional coordinates):
Rb 0.000 0.000 0.000
Rb 0.333 0.667 0.500
Ga 0.024 0.277 0.500
Ga 0.141 0.739 0.000
Ga 0.253 0.976 0.500
Ga 0.261 0.402 0.000
Ga 0.377 0.203 0.000
Ga 0.546 0.422 0.500
Ga 0.578 0.123 0.500
Ga 0.598 0.859 0.000
Ga 0.723 0.747 0.500
Ga 0.797 0.174 0.000
Ga 0.826 0.623 0.000
Ga 0.877 0.454 0.500
Pt 0.023 0.437 0.000
Pt 0.262 0.251 0.500
Pt 0.414 0.977 0.000
Pt 0.563 0.586 0.000
Pt 0.667 0.333 0.000
Pt 0.749 0.011 0.500
Pt 0.989 0.738 0.500

Summary:
As for the formation energy: -497 meV per atom. The total DFT energy (no corrections) is -4.332 eV/atom. The calculation puts the total magnetization at 0.00 μB/f.u.

=====

4.
An optimized crystal structure of Na2LaRh. Source: Alexandria, functional PBE.

abc: 12.722 12.722 12.722
angles: 161.45 161.45 26.35
Atoms (fractional coordinates):
Na 0.096 0.625 0.971
Na 0.375 0.346 0.471
Na 0.654 0.125 0.029
Na 0.875 0.904 0.529
La 0.250 0.750 0.500
La 0.500 0.500 0.000
Rh 0.000 0.000 0.000
Rh 0.750 0.250 0.500

Summary:
As for the formation energy: -55 meV per atom. The total DFT energy (no corrections) is -3.784 eV/atom. The calculation puts the total magnetization at 0.00 μB/f.u. The energy relative to the lowest polymorph listed for this composition is 0 meV/atom.